{
  "formula": "UAl4Pd15",
  "functional": "PBE",
  "state": "relaxed",
  "energy_ev_per_atom": -5.806,
  "ef_ev_per_atom": -0.5990,
  "dos_ef_per_ev_fu": 17.27,
  "lattice": [[-3.185, 1.197, -2.069], [0.492, -3.045, -2.519], [-11.458, -11.124, 11.206]],
  "species": ["U", "Al", "Al", "Al", "Al", "Pd", "Pd", "Pd", "Pd", "Pd", "Pd", "Pd", "Pd", "Pd", "Pd", "Pd", "Pd", "Pd", "Pd", "Pd"],
  "frac_coords": [[0.000, 0.000, 0.000], [0.000, 0.000, 0.213], [0.000, 0.000, 0.404], [0.000, 0.000, 0.596], [0.000, 0.000, 0.787], [0.500, 0.500, 0.000], [0.500, 0.500, 0.205], [0.500, 0.500, 0.402], [0.500, 0.500, 0.598], [0.500, 0.500, 0.795], [0.500, 0.000, 0.106], [0.500, 0.000, 0.305], [0.500, 0.000, 0.500], [0.500, 0.000, 0.695], [0.500, 0.000, 0.894], [0.000, 0.500, 0.106], [0.000, 0.500, 0.305], [0.000, 0.500, 0.500], [0.000, 0.500, 0.695], [0.000, 0.500, 0.894]]
}